# 1
DFT (PBE) results for a relaxed structure of AcZnPPt2.

Calculated values
DOS(E_F) ... 1.74 states/eV/cell
DFT formation energy ... -0.870 eV/atom
Energy ... -5.445 eV per atom

Cell: 6.206 6.206 6.206 Å, 139.86 139.54 58.31°
Fractional coordinates of all 5 atoms:
Ac 0.000 0.000 0.000
Zn 0.257 0.757 0.500
P 0.626 0.626 0.000
Pt 0.406 0.406 0.000
Pt 0.729 0.229 0.500

# 2
DFT (PBE) results for a relaxed structure of Ac2ZnP3Pt12.

Calculated values
DOS(E_F) ... 7.38 states/eV/cell
DFT formation energy ... -0.501 eV/atom
Energy ... -5.957 eV per atom

Cell: 7.801 7.801 7.801 Å, 64.07 64.07 64.07°
Fractional coordinates of all 18 atoms:
Ac 0.116 0.116 0.116
Ac 0.884 0.884 0.884
Zn 0.500 0.500 0.500
P 0.000 0.500 0.500
P 0.500 0.000 0.500
P 0.500 0.500 0.000
Pt 0.132 0.618 0.618
Pt 0.160 0.160 0.599
Pt 0.160 0.599 0.160
Pt 0.382 0.382 0.868
Pt 0.382 0.868 0.382
Pt 0.401 0.840 0.840
Pt 0.599 0.160 0.160
Pt 0.618 0.132 0.618
Pt 0.618 0.618 0.132
Pt 0.840 0.401 0.840
Pt 0.840 0.840 0.401
Pt 0.868 0.382 0.382

# 3
DFT (PBE) results for a relaxed structure of Ac2ZnP3Pt4.

Calculated values
DOS(E_F) ... 5.41 states/eV/cell
DFT formation energy ... -0.938 eV/atom
Energy ... -5.926 eV per atom

Cell: 4.390 4.390 9.994 Å, 90.00 90.00 90.00°
Fractional coordinates of all 10 atoms:
Ac 0.000 0.500 0.248
Ac 0.500 0.000 0.752
Zn 0.000 0.000 0.500
P 0.000 0.500 0.870
P 0.500 0.000 0.130
P 0.500 0.500 0.500
Pt 0.000 0.000 0.000
Pt 0.000 0.500 0.626
Pt 0.500 0.000 0.374
Pt 0.500 0.500 0.000